# 1
Entry from Alexandria via LeMat-Bulk: a relaxed TaBrO3 crystal (PBE).

a b c (Å): 4.036 4.036 4.036
angles (deg): 90.00 90.00 90.00
Last column: magnetic moment on the atom in μB.
Fractional positions:
O (0.500, 0.000, 0.000)  -0.04
O (0.000, 0.000, 0.500)  -0.03
O (0.000, 0.500, 0.000)  -0.04
Ta (0.500, 0.500, 0.500)  1.93
Br (0.000, 0.000, 0.000)  -0.02

- N(E_F): 0.759 states/eV/atom
- SG: No. 221
- ΔE_f (raw): 0.966 eV per atom

***

# 2
Entry from Alexandria via LeMat-Bulk: a relaxed PrSm2Ga2Cu2 crystal (PBE).

a b c (Å): 4.463 4.463 9.717
angles (deg): 76.72 76.72 60.00
Fractional positions:
Ga (0.262, 0.262, 0.215)
Ga (0.738, 0.738, 0.785)
Pr (0.000, 0.000, 0.000)
Cu (0.598, 0.598, 0.205)
Cu (0.402, 0.402, 0.795)
Sm (0.125, 0.125, 0.625)
Sm (0.875, 0.875, 0.375)

- N(E_F): 0.797 states/eV/atom
- SG: No. 166
- DFT formation energy: -0.37 eV/atom